# 1
Material: HoIn3Hg2
Method: DFT, GGA-PBE
State: relaxed

Properties
The calculation puts the density of states at the Fermi level at 0.391 states/eV/atom. The magnetic moment is 0.000 μB/atom. The calculation puts the energy of formation from the pure elements at -214 meV per atom.

Cell: 4.607 13.845 4.652 Å, 90.00 90.00 90.00°
Space group Cmmm (No. 65)
Unique sites:
Ho (0.000, 0.000, 0.000) (multiplicity 2)
In (0.000, 0.171, 0.500) (multiplicity 4)
In (0.000, 0.500, 0.500) (multiplicity 2)
Hg (0.000, 0.335, 0.000) (multiplicity 4)


# 2
Material: Ho4In2Hg5
Method: DFT, GGA-PBE
State: relaxed

Properties
The calculation puts the density of states at the Fermi level at 0.654 states/eV/atom. The magnetic moment is 0.000 μB/atom. The calculation puts the energy of formation from the pure elements at -358 meV per atom.

Cell: 8.026 3.543 9.964 Å, 90.00 96.95 90.00°
Space group P2/m (No. 10)
Unique sites:
Ho (0.186, 0.000, 0.396) (multiplicity 2)
Ho (0.273, 0.000, 0.926) (multiplicity 2)
In (0.075, 0.500, 0.136) (multiplicity 2)
Hg (0.161, 0.500, 0.653) (multiplicity 2)
Hg (0.450, 0.500, 0.190) (multiplicity 2)
Hg (0.500, 0.500, 0.500) (multiplicity 1)


# 3
Material: Ho2InHg3
Method: DFT, GGA-PBE
State: relaxed

Properties
The calculation puts the density of states at the Fermi level at 0.759 states/eV/atom. The offset from the most stable computed form is 161 meV per atom. The magnetic moment is 0.000 μB/atom. The calculation puts the energy of formation from the pure elements at -220 meV per atom.

Cell: 3.649 4.601 18.944 Å, 90.00 90.00 90.00°
Space group Imm2 (No. 44)
Unique sites:
Ho (0.000, 0.000, 0.000) (multiplicity 2)
Ho (0.000, 0.500, 0.233) (multiplicity 2)
In (0.000, 0.000, 0.577) (multiplicity 2)
Hg (0.000, 0.000, 0.425) (multiplicity 2)
Hg (0.000, 0.500, 0.659) (multiplicity 2)
Hg (0.000, 0.500, 0.811) (multiplicity 2)


# 4
Material: Ho4In3Hg
Method: DFT, GGA-PBE
State: relaxed

Properties
The calculation puts the density of states at the Fermi level at 0.782 states/eV/atom. The offset from the most stable computed form is 33 meV per atom. The magnetic moment is 0.005 μB/atom. The calculation puts the energy of formation from the pure elements at -426 meV per atom.

Cell: 3.785 4.768 11.935 Å, 90.00 90.00 90.00°
Space group Pmm2 (No. 25)
Unique sites:
Ho (0.000, 0.000, 0.000) (multiplicity 1)
Ho (0.000, 0.500, 0.304) (multiplicity 1)
Ho (0.500, 0.000, 0.494) (multiplicity 1)
Ho (0.500, 0.500, 0.809) (multiplicity 1)
In (0.000, 0.000, 0.732) (multiplicity 1)
In (0.000, 0.500, 0.572) (multiplicity 1)
In (0.500, 0.500, 0.075) (multiplicity 1)
Hg (0.500, 0.000, 0.235) (multiplicity 1)